[1]
First-principles (PBE) data for a relaxed CaSn2Pt crystal, as listed in Alexandria.

Summary:
The value obtained for the calculated volume is 413.9 Å³/cell. For the total energy, the calculation gives -69.760 eV per cell.

a b c (Å): 4.559 4.559 19.912
angles (deg): 90.00 90.00 90.00
Space group I-42d (No. 122)
Symmetry-distinct sites (fractional):
Ca  0.000  0.000  0.000 (multiplicity 4)
Sn  0.194  0.250  0.625 (multiplicity 8)
Pt  0.000  0.000  0.500 (multiplicity 4)

[2]
First-principles (PBE) data for a relaxed Ca3Sn3Pt crystal, as listed in Alexandria.

Summary:
The value obtained for the calculated volume is 760.9 Å³/cell. For the total energy, the calculation gives -117.784 eV per cell.

a b c (Å): 11.250 4.667 15.338
angles (deg): 90.00 109.12 90.00
Space group C2/m (No. 12)
Symmetry-distinct sites (fractional):
Ca  0.027  0.000  0.384 (multiplicity 4)
Ca  0.097  0.000  0.919 (multiplicity 4)
Ca  0.240  0.000  0.238 (multiplicity 4)
Sn  0.030  0.500  0.238 (multiplicity 4)
Sn  0.118  0.500  0.077 (multiplicity 4)
Sn  0.147  0.500  0.537 (multiplicity 4)
Pt  0.246  0.500  0.388 (multiplicity 4)

[3]
First-principles (PBE) data for a relaxed CaSn4Pt4 crystal, as listed in Alexandria.

Summary:
The value obtained for the calculated volume is 409.8 Å³/cell. For the total energy, the calculation gives -94.536 eV per cell.

a b c (Å): 6.911 6.911 8.580
angles (deg): 90.00 90.00 90.00
Space group P4_2/nmc (No. 137, origin choice 2)
Symmetry-distinct sites (fractional):
Ca  0.250  0.750  0.250 (multiplicity 2)
Sn  0.003  0.250  0.117 (multiplicity 8)
Pt  0.044  0.250  0.430 (multiplicity 8)

One value per record, in order, for ΔH_f (0 K): -0.348, -0.770, -0.566 eV/atom.
One value per record, in order, for spin magnetization: 0.000, 0.000, 0.000 μB per cell.